# 1
First-principles (PBE) data for crystalline Ca2Ac7Nd2 at its relaxed geometry, as listed in Alexandria via LeMat-Bulk.

```
Ca2Ac7Nd2
1.0
-4.767 5.265 -0.164
-0.386 -0.721 7.057
5.929 7.204 2.374
Ca Ac Nd
2 7 2
Direct
0.405 0.405 0.852 Ca
0.595 0.595 0.148 Ca
0.070 0.438 0.214 Ac
0.562 0.930 0.786 Ac
0.930 0.562 0.786 Ac
0.438 0.070 0.214 Ac
0.000 0.000 0.000 Ac
0.145 0.145 0.593 Ac
0.855 0.855 0.407 Ac
0.669 0.331 0.500 Nd
0.331 0.669 0.500 Nd
```

## Properties
The value obtained for the energy of formation from the pure elements is 0.1222 eV/atom. Its excess energy over the best structure of this formula in the dataset is 0.0000 eV/atom.

---

# 2
First-principles (PBE) data for crystalline CaAc3Nd6 at its relaxed geometry, as listed in Alexandria via LeMat-Bulk.

```
CaAc3Nd6
1.0
3.961 0.000 -0.062
0.000 13.952 0.000
0.222 0.000 14.247
Ca Ac Nd
2 6 12
Direct
0.500 0.500 0.500 Ca
0.000 0.000 0.000 Ca
0.500 0.102 0.749 Ac
0.500 0.500 0.000 Ac
0.500 0.898 0.251 Ac
0.000 0.398 0.249 Ac
0.000 0.000 0.500 Ac
0.000 0.602 0.751 Ac
0.500 0.766 0.902 Nd
0.500 0.766 0.597 Nd
0.500 0.608 0.253 Nd
0.500 0.392 0.747 Nd
0.500 0.234 0.403 Nd
0.500 0.234 0.098 Nd
0.000 0.734 0.402 Nd
0.000 0.734 0.097 Nd
0.000 0.892 0.753 Nd
0.000 0.108 0.247 Nd
0.000 0.266 0.903 Nd
0.000 0.266 0.598 Nd
```

## Properties
The value obtained for the energy of formation from the pure elements is 0.0966 eV/atom.

---

# 3
First-principles (PBE) data for crystalline Ca3Ac3Nd at its relaxed geometry, as listed in Alexandria via LeMat-Bulk.

```
Ca3Ac3Nd
1.0
-1.932 -6.382 2.629
7.093 -0.216 -1.008
-1.232 4.838 5.143
Ca Ac Nd
3 3 1
Direct
0.513 0.513 0.149 Ca
0.513 0.149 0.513 Ca
0.149 0.513 0.513 Ca
0.566 0.000 0.000 Ac
0.000 0.000 0.566 Ac
0.000 0.566 0.000 Ac
0.059 0.059 0.059 Nd
```

## Properties
The value obtained for the energy of formation from the pure elements is 0.2582 eV/atom. Its excess energy over the best structure of this formula in the dataset is 0.2255 eV/atom.

---

# 4
First-principles (PBE) data for crystalline Ca3Ac3Nd at its relaxed geometry, as listed in Alexandria via LeMat-Bulk.

```
Ca3Ac3Nd
1.0
6.246 0.000 0.000
0.000 9.045 -5.222
0.000 0.000 10.444
Ca Ac Nd
6 6 2
Direct
0.750 0.811 0.756 Ca
0.750 0.945 0.189 Ca
0.250 0.756 0.945 Ca
0.750 0.244 0.055 Ca
0.250 0.055 0.811 Ca
0.250 0.189 0.244 Ca
0.750 0.517 0.899 Ac
0.750 0.382 0.483 Ac
0.250 0.899 0.382 Ac
0.750 0.101 0.618 Ac
0.250 0.618 0.517 Ac
0.250 0.483 0.101 Ac
0.250 0.333 0.667 Nd
0.750 0.667 0.333 Nd
```

## Properties
The value obtained for the energy of formation from the pure elements is 0.0326 eV/atom. Its excess energy over the best structure of this formula in the dataset is 0.0000 eV/atom.